[1]
DFT (PBEsol) results for TcHg2Au after structural relaxation.

The structure belongs to space group F-43m (No. 216); the cell edges are 6.616, 6.616 and 6.616 Å and the angles 90.00°, 90.00° and 90.00°. Symmetry generates all atoms from Tc at (0.000, 0.000, 0.000), Hg at (0.000, 0.000, 0.500), Hg at (0.250, 0.250, 0.750) and Au at (0.250, 0.250, 0.250).

Its energy relative to the lowest polymorph listed for this composition is 35 kJ/mol of formula units. Its calculated total energy is -55.9 eV/cell. As for the density of states at the Fermi level: 9.9 states/eV/cell. The energy of formation from the pure elements comes out at 0.59 eV per atom.

[2]
DFT (PBEsol) results for TcHg2Au after structural relaxation.

The structure belongs to space group Immm (No. 71); the cell edges are 2.920, 5.058 and 9.666 Å and the angles 90.00°, 90.00° and 90.00°. Symmetry generates all atoms from Tc at (0.000, 0.000, 0.000), Hg at (0.000, 0.500, 0.253) and Au at (0.000, 0.000, 0.500).

Its energy relative to the lowest polymorph listed for this composition is 0 kJ/mol of formula units. Its calculated total energy is -28.7 eV/cell. As for the density of states at the Fermi level: 5.7 states/eV/cell. The energy of formation from the pure elements comes out at 0.50 eV per atom.